Record 1
# SrFe2AsH

A relaxed structure of SrFe2AsH (PBE, Alexandria).

Values from the calculation:
For the total energy, the calculation gives -4.9082 eV/atom.

Geometry as CIF:
```
data_SrFe2AsH
_chemical_formula_sum 'Sr1 Fe2 As1 H1'
_space_group_name_H-M_alt 'P 4/m m m'
_space_group_IT_number 123
_space_group_name_Hall '-P 4 2'
_cell_length_a 4.0841
_cell_length_b 4.0841
_cell_length_c 4.8997
_cell_angle_alpha 90.00
_cell_angle_beta 90.00
_cell_angle_gamma 90.00
loop_
_atom_site_label
_atom_site_type_symbol
_atom_site_fract_x
_atom_site_fract_y
_atom_site_fract_z
_atom_site_occupancy
Sr1 Sr 0.0000 0.0000 0.0000 1
Fe1 Fe 0.0000 0.5000 0.5000 1
As1 As 0.5000 0.5000 0.0000 1
H1 H 0.5000 0.5000 0.5000 1
```

***

Record 2
# Dy6SbC2S3

A relaxed structure of Dy6SbC2S3 (PBE, Alexandria).

Values from the calculation:
For the uncorrected formation energy, the calculation gives -1294.9 meV/atom. For the total energy, the calculation gives -6.5086 eV/atom.

Geometry as CIF:
```
data_Dy6SbC2S3
_chemical_formula_sum 'Dy12 Sb2 C4 S6'
_space_group_name_H-M_alt 'C 1 2/m 1'
_space_group_IT_number 12
_cell_length_a 17.1012
_cell_length_b 3.8536
_cell_length_c 7.9677
_cell_angle_alpha 90.00
_cell_angle_beta 102.58
_cell_angle_gamma 90.00
loop_
_space_group_symop_operation_xyz
'x,y,z'
'-x,-y,-z'
'-x,y,-z'
'x,-y,z'
'x+1/2,y+1/2,z'
'-x+1/2,-y+1/2,-z'
'-x+1/2,y+1/2,-z'
'x+1/2,-y+1/2,z'
loop_
_atom_site_label
_atom_site_type_symbol
_atom_site_fract_x
_atom_site_fract_y
_atom_site_fract_z
_atom_site_occupancy
Dy1 Dy 0.0224 0.0000 0.2792 1
Dy2 Dy 0.1766 0.5000 0.1275 1
Dy3 Dy 0.1776 0.5000 0.5679 1
Sb1 Sb 0.0000 0.5000 0.0000 1
C1 C 0.1719 0.0000 0.3428 1
S1 S 0.0000 0.5000 0.5000 1
S2 S 0.1628 0.0000 0.8324 1
```

***

Record 3
# LuTiAl2

A relaxed structure of LuTiAl2 (PBE, Alexandria).

Values from the calculation:
For the energy of formation, the calculation gives -0.08 eV/atom. For the total energy, the calculation gives -5.0555 eV/atom. Its energy above the most stable polymorph in this dataset is 236.4 meV per atom.

Geometry as CIF:
```
data_LuTiAl2
_chemical_formula_sum 'Lu3 Ti3 Al6'
_space_group_name_H-M_alt 'R -3 m'
_space_group_IT_number 166
_space_group_name_Hall '-R 3 2"'
_cell_length_a 3.1696
_cell_length_b 3.1696
_cell_length_c 27.6928
_cell_angle_alpha 90.00
_cell_angle_beta 90.00
_cell_angle_gamma 120.00
loop_
_atom_site_label
_atom_site_type_symbol
_atom_site_fract_x
_atom_site_fract_y
_atom_site_fract_z
_atom_site_occupancy
Lu1 Lu 0.0000 0.0000 0.0000 1
Ti1 Ti 0.0000 0.0000 0.5000 1
Al1 Al 0.0000 0.0000 0.2434 1
```

***

Record 4
# Na2TcRu

A relaxed structure of Na2TcRu (PBE, Alexandria).

Values from the calculation:
For the energy of formation, the calculation gives 1.36 eV/atom. For the total energy, the calculation gives -4.2064 eV/atom. Its energy above the most stable polymorph in this dataset is 0.0 meV per atom.

Geometry as CIF:
```
data_Na2TcRu
_chemical_formula_sum 'Na8 Tc4 Ru4'
_space_group_name_H-M_alt 'I -4 2 d'
_space_group_IT_number 122
_space_group_name_Hall 'I -4 2bw'
_cell_length_a 8.2156
_cell_length_b 8.2156
_cell_length_c 4.8199
_cell_angle_alpha 90.00
_cell_angle_beta 90.00
_cell_angle_gamma 90.00
loop_
_atom_site_label
_atom_site_type_symbol
_atom_site_fract_x
_atom_site_fract_y
_atom_site_fract_z
_atom_site_occupancy
Na1 Na 0.2334 0.2500 0.1250 1
Tc1 Tc 0.0000 0.0000 0.5000 1
Ru1 Ru 0.0000 0.0000 0.0000 1
```

***

Record 5
# Er2TmZn6

A relaxed structure of Er2TmZn6 (PBE, Alexandria).

Values from the calculation:
For the energy of formation, the calculation gives -0.38 eV/atom. For the total energy, the calculation gives -2.7422 eV/atom.

Geometry as CIF:
```
data_Er2TmZn6
_chemical_formula_sum 'Er2 Tm1 Zn6'
_space_group_name_H-M_alt 'P 6/m m m'
_space_group_IT_number 191
_space_group_name_Hall '-P 6 2'
_cell_length_a 7.7023
_cell_length_b 7.7023
_cell_length_c 3.4518
_cell_angle_alpha 90.00
_cell_angle_beta 90.00
_cell_angle_gamma 120.00
loop_
_atom_site_label
_atom_site_type_symbol
_atom_site_fract_x
_atom_site_fract_y
_atom_site_fract_z
_atom_site_occupancy
Er1 Er 0.3333 0.6667 0.0000 1
Tm1 Tm 0.0000 0.0000 0.0000 1
Zn1 Zn 0.0000 0.3330 0.5000 1
```